(w)
Here is a PBEsol-optimized structure of CuPtAu from Alexandria. Energies are from meta-GGA SCAN.

Values from the calculation:
- DOS(E_F) (states/eV per cell) = 1.135
- magnetization (μB/f.u.) = 0.00
- space group = No. 107
- volume (Å³ per atom) = 14.4

Lattice parameters (Å, degrees): 2.794 2.794 5.881 103.74 103.74 90.00
Element x y z (fractional)
Cu 0.670 0.670 0.340
Au 0.008 0.008 0.016
Pt 0.322 0.322 0.645

(x)
Here is a PBEsol-optimized structure of CuPtAu from Alexandria. Energies are from meta-GGA SCAN.

Values from the calculation:
- DOS(E_F) (states/eV per cell) = 1.114
- magnetization (μB/f.u.) = 0.00
- space group = No. 156
- volume (Å³ per atom) = 14.6

Lattice parameters (Å, degrees): 2.757 2.757 6.642 90.00 90.00 120.00
Element x y z (fractional)
Pt 0.333 0.667 0.352
Cu 0.667 0.333 0.663
Au 0.000 0.000 0.985

(y)
Here is a PBEsol-optimized structure of CuPtAu from Alexandria. Energies are from meta-GGA SCAN.

Values from the calculation:
- DOS(E_F) (states/eV per cell) = 0.659
- magnetization (μB/f.u.) = 0.00
- space group = No. 216
- volume (Å³ per atom) = 17.6

Lattice parameters (Å, degrees): 4.214 4.214 4.214 60.00 60.00 60.00
Element x y z (fractional)
Au 0.250 0.250 0.250
Pt 0.500 0.500 0.500
Cu 0.000 0.000 0.000

(w) has the most favorable energy; the next structure is 0.6 kJ/mol of atoms above.

(w)
Here is a PBEsol-optimized structure of CuReAu2 from Alexandria. Energies are from meta-GGA SCAN.

Values from the calculation:
- DOS(E_F) (states/eV per cell) = 2.864
- magnetization (μB/f.u.) = 0.00
- space group = No. 8
- volume (Å³ per atom) = 15.0

Lattice parameters (Å, degrees): 2.692 4.782 4.932 98.77 90.00 106.35
Element x y z (fractional)
Au 0.244 0.487 0.733
Au 0.006 0.011 0.021
Cu 0.494 0.989 0.497
Re 0.757 0.513 0.249

(x)
Here is a PBEsol-optimized structure of CuReAu2 from Alexandria. Energies are from meta-GGA SCAN.

Values from the calculation:
- DOS(E_F) (states/eV per cell) = 2.901
- magnetization (μB/f.u.) = 0.00
- space group = No. 12
- volume (Å³ per atom) = 15.1

Lattice parameters (Å, degrees): 2.682 4.751 4.982 97.81 90.00 106.39
Element x y z (fractional)
Re 0.500 0.000 0.000
Au 0.249 0.497 0.251
Au 0.751 0.503 0.749
Cu 0.000 0.000 0.500

(w) has the most favorable energy; the next structure is 8.9 kJ/mol of atoms above.

(w)
Here is a PBEsol-optimized structure of CuRu2Au from Alexandria. Energies are from meta-GGA SCAN.

Values from the calculation:
- DOS(E_F) (states/eV per cell) = 4.938
- magnetization (μB/f.u.) = 0.00
- space group = No. 10
- volume (Å³ per atom) = 14.1

Lattice parameters (Å, degrees): 2.675 4.562 4.625 90.00 90.00 92.82
Element x y z (fractional)
Ru 0.263 0.235 0.000
Ru 0.737 0.765 0.000
Au 0.000 0.500 0.500
Cu 0.500 0.000 0.500

(x)
Here is a PBEsol-optimized structure of CuRu2Au from Alexandria. Energies are from meta-GGA SCAN.

Values from the calculation:
- DOS(E_F) (states/eV per cell) = 3.329
- magnetization (μB/f.u.) = 2.22
- space group = No. 12
- volume (Å³ per atom) = 14.1

Lattice parameters (Å, degrees): 2.663 4.537 5.348 114.58 103.59 91.90
Last column: magnetic moment on the atom in μB.
Element x y z (fractional)
Au 0.500 0.000 0.000  -0.03
Cu 0.000 0.500 0.000  -0.07
Ru 0.000 0.000 0.500  -1.07
Ru 0.500 0.500 0.500  -1.07

(x) has the most favorable energy; the next structure is 3.1 kJ/mol of atoms above.